No. 1
Below is a geometry-optimized Li2La3Pt3 structure, with properties calculated at the PBE level.

abc: 8.8203 8.8203 5.8591
angles: 90.00 90.00 120.00
Space group P6_3/mcm (No. 193)
Asymmetric unit:
1 Li 0.3333 0.6667 0.0000 (multiplicity 4)
2 La 0.0000 0.2949 0.2500 (multiplicity 6)
3 Pt 0.0000 0.3718 0.7500 (multiplicity 6)

Values from the calculation:
final energy = -5.4541 eV per atom
calculated formation energy = -6.90 eV per formula unit
calculated volume = 394.8 Å³/cell

---

No. 2
Below is a geometry-optimized Li2LaPt2 structure, with properties calculated at the PBE level.

abc: 7.5505 7.5505 3.0544
angles: 90.00 90.00 90.00
Space group P4/mbm (No. 127)
Asymmetric unit:
1 Li 0.1096 0.3904 0.0000 (multiplicity 4)
2 La 0.0000 0.0000 0.0000 (multiplicity 2)
3 Pt 0.1844 0.6844 0.5000 (multiplicity 4)

Values from the calculation:
final energy = -4.8286 eV per atom
calculated formation energy = -3.31 eV per formula unit
calculated volume = 174.1 Å³/cell
ΔE to the lowest computed polymorph = 128 meV per atom

---

No. 3
Below is a geometry-optimized Li2LaPuPt2 structure, with properties calculated at the PBE level.

abc: 4.4697 4.4697 7.1263
angles: 90.00 90.00 120.00
Space group P-3m1 (No. 164)
Asymmetric unit:
1 Li 0.3333 0.6667 0.2792 (multiplicity 2)
2 La 0.0000 0.0000 0.0000 (multiplicity 1)
3 Pu 0.0000 0.0000 0.5000 (multiplicity 1)
4 Pt 0.3333 0.6667 0.7248 (multiplicity 2)

Values from the calculation:
final energy = -6.5019 eV per atom
calculated formation energy = -3.84 eV per formula unit
calculated volume = 123.3 Å³/cell

---

No. 4
Below is a geometry-optimized LiLa2PtRh structure, with properties calculated at the PBE level.

abc: 4.1476 4.1476 13.7118
angles: 90.00 90.00 90.00
Space group P4/nmm (No. 129, origin choice 2)
Asymmetric unit:
1 Li 0.2500 0.7500 0.0000 (multiplicity 2)
2 La 0.2500 0.2500 0.1917 (multiplicity 2)
3 La 0.2500 0.2500 0.6129 (multiplicity 2)
4 Pt 0.2500 0.2500 0.8615 (multiplicity 2)
5 Rh 0.2500 0.2500 0.3921 (multiplicity 2)

Values from the calculation:
final energy = -5.8244 eV per atom
calculated formation energy = -3.96 eV per formula unit
calculated volume = 235.9 Å³/cell

---

No. 5
Below is a geometry-optimized Li3La2Pt12Rh structure, with properties calculated at the PBE level.

abc: 6.7539 6.7539 25.9865
angles: 90.00 90.00 120.00
Space group R-3m (No. 166, hexagonal axes)
Asymmetric unit:
1 Li 0.0000 0.5000 0.0000 (multiplicity 9)
2 La 0.0000 0.0000 0.1580 (multiplicity 6)
3 Pt 0.0315 0.5157 0.0972 (multiplicity 18)
4 Pt 0.0667 0.5334 0.6202 (multiplicity 18)
5 Rh 0.0000 0.0000 0.5000 (multiplicity 3)

Values from the calculation:
final energy = -5.5971 eV per atom
calculated formation energy = -5.31 eV per formula unit
calculated volume = 1026.6 Å³/cell

---

No. 6
Below is a geometry-optimized LiLaScPt2 structure, with properties calculated at the PBE level.

abc: 4.0837 4.0837 12.6096
angles: 90.00 90.00 90.00
Space group I-4m2 (No. 119)
Asymmetric unit:
1 Li 0.0000 0.0000 0.0000 (multiplicity 2)
2 La 0.0000 0.5000 0.2500 (multiplicity 2)
3 Sc 0.0000 0.0000 0.5000 (multiplicity 2)
4 Pt 0.0000 0.5000 0.6393 (multiplicity 4)

Values from the calculation:
final energy = -6.0000 eV per atom
calculated formation energy = -4.75 eV per formula unit
calculated volume = 210.3 Å³/cell

---

No. 7
Below is a geometry-optimized LiLa2Si3Pt4 structure, with properties calculated at the PBE level.

abc: 4.2998 4.2998 9.9717
angles: 90.00 90.00 90.00
Space group P-4m2 (No. 115)
Asymmetric unit:
1 Li 0.0000 0.0000 0.0000 (multiplicity 1)
2 La 0.0000 0.5000 0.7560 (multiplicity 2)
3 Si 0.0000 0.5000 0.3713 (multiplicity 2)
4 Si 0.5000 0.5000 0.0000 (multiplicity 1)
5 Pt 0.0000 0.0000 0.5000 (multiplicity 1)
6 Pt 0.0000 0.5000 0.1288 (multiplicity 2)
7 Pt 0.5000 0.5000 0.5000 (multiplicity 1)

Values from the calculation:
final energy = -6.3081 eV per atom
E_form (uncorrected) = -1.088 eV per atom
calculated volume = 184.4 Å³/cell

---

No. 8
Below is a geometry-optimized Li2LaSiPt structure, with properties calculated at the PBE level.

abc: 4.7093 4.7093 4.5987
angles: 90.00 90.00 90.00
Space group P4/mmm (No. 123)
Asymmetric unit:
1 Li 0.0000 0.5000 0.0000 (multiplicity 2)
2 La 0.0000 0.0000 0.5000 (multiplicity 1)
3 Si 0.5000 0.5000 0.5000 (multiplicity 1)
4 Pt 0.5000 0.5000 0.0000 (multiplicity 1)

Values from the calculation:
final energy = -4.5237 eV per atom
E_form (uncorrected) = -0.480 eV per atom
calculated volume = 102.0 Å³/cell

---

No. 9
Below is a geometry-optimized LiLa2Si4Pt3 structure, with properties calculated at the PBE level.

abc: 4.3028 4.3028 9.9788
angles: 90.00 90.00 90.00
Space group P-4m2 (No. 115)
Asymmetric unit:
1 Li 0.0000 0.0000 0.0000 (multiplicity 1)
2 La 0.0000 0.5000 0.7491 (multiplicity 2)
3 Si 0.0000 0.0000 0.5000 (multiplicity 1)
4 Si 0.0000 0.5000 0.1335 (multiplicity 2)
5 Si 0.5000 0.5000 0.5000 (multiplicity 1)
6 Pt 0.0000 0.5000 0.3816 (multiplicity 2)
7 Pt 0.5000 0.5000 0.0000 (multiplicity 1)

Values from the calculation:
final energy = -6.1726 eV per atom
E_form (uncorrected) = -1.014 eV per atom
calculated volume = 184.7 Å³/cell

---

No. 10
Below is a geometry-optimized LiLaSiPt6 structure, with properties calculated at the PBE level.

abc: 6.4560 9.3753 11.2482
angles: 90.00 90.00 90.00
Space group Imma (No. 74)
Asymmetric unit:
1 Li 0.2500 0.2500 0.2500 (multiplicity 4)
2 La 0.0000 0.2500 0.6604 (multiplicity 4)
3 Si 0.0000 0.0000 0.0000 (multiplicity 4)
4 Pt 0.0000 0.2500 0.4111 (multiplicity 4)
5 Pt 0.0000 0.2500 0.9231 (multiplicity 4)
6 Pt 0.2239 0.0136 0.3699 (multiplicity 16)

Values from the calculation:
final energy = -5.9059 eV per atom
E_form (uncorrected) = -0.516 eV per atom
calculated volume = 680.8 Å³/cell

---

No. 11
Below is a geometry-optimized LiLaSiPt2 structure, with properties calculated at the PBE level.

abc: 4.1724 4.1724 10.7211
angles: 90.00 90.00 90.00
Space group I-4m2 (No. 119)
Asymmetric unit:
1 Li 0.0000 0.0000 0.0000 (multiplicity 2)
2 La 0.0000 0.5000 0.7500 (multiplicity 2)
3 Si 0.0000 0.0000 0.5000 (multiplicity 2)
4 Pt 0.0000 0.5000 0.1218 (multiplicity 4)

Values from the calculation:
final energy = -5.8449 eV per atom
E_form (uncorrected) = -0.976 eV per atom
calculated volume = 186.6 Å³/cell
ΔE to the lowest computed polymorph = 0 meV per atom

---

No. 12
Below is a geometry-optimized LiLaSiPt2 structure, with properties calculated at the PBE level.

abc: 5.1789 5.1789 5.1432
angles: 90.00 90.00 90.00
Space group P4/mmm (No. 123)
Asymmetric unit:
1 Li 0.0000 0.0000 0.0000 (multiplicity 1)
2 La 0.0000 0.0000 0.5000 (multiplicity 1)
3 Si 0.5000 0.5000 0.0000 (multiplicity 1)
4 Pt 0.0000 0.5000 0.5000 (multiplicity 2)

Values from the calculation:
final energy = -3.9062 eV per atom
E_form (uncorrected) = 0.963 eV per atom
calculated volume = 137.9 Å³/cell
ΔE to the lowest computed polymorph = 1939 meV per atom

---

No. 13
Below is a geometry-optimized LiLa2SnPt6 structure, with properties calculated at the PBE level.

abc: 5.5163 6.7695 6.8002
angles: 79.94 66.13 65.98
Space group P-1 (No. 2)
Asymmetric unit:
1 Li 0.0000 0.0000 0.0000 (multiplicity 1)
2 La 0.2617 0.1938 0.2815 (multiplicity 2)
3 Sn 0.5000 0.5000 0.5000 (multiplicity 1)
4 Pt 0.2350 0.7620 0.2532 (multiplicity 2)
5 Pt 0.2449 0.5882 0.9214 (multiplicity 2)
6 Pt 0.2497 0.2378 0.7462 (multiplicity 2)

Values from the calculation:
final energy = -5.9618 eV per atom
calculated formation energy = -7.60 eV per formula unit
calculated volume = 212.1 Å³/cell

---

No. 14
Below is a geometry-optimized LiLa2SnPt structure, with properties calculated at the PBE level.

abc: 5.5962 5.5962 4.7688
angles: 90.00 90.00 90.00
Space group P4/mmm (No. 123)
Asymmetric unit:
1 Li 0.0000 0.0000 0.0000 (multiplicity 1)
2 La 0.0000 0.5000 0.5000 (multiplicity 2)
3 Sn 0.5000 0.5000 0.0000 (multiplicity 1)
4 Pt 0.0000 0.0000 0.5000 (multiplicity 1)

Values from the calculation:
final energy = -5.0036 eV per atom
calculated formation energy = -3.21 eV per formula unit
calculated volume = 149.3 Å³/cell

---

No. 15
Below is a geometry-optimized SrLi2LaPt structure, with properties calculated at the PBE level.

abc: 5.2811 5.2811 5.3913
angles: 90.00 90.00 90.00
Space group P4/mmm (No. 123)
Asymmetric unit:
1 Sr 0.0000 0.0000 0.0000 (multiplicity 1)
2 Li 0.0000 0.5000 0.5000 (multiplicity 2)
3 La 0.5000 0.5000 0.0000 (multiplicity 1)
4 Pt 0.5000 0.5000 0.5000 (multiplicity 1)

Values from the calculation:
final energy = -3.5719 eV per atom
calculated formation energy = -1.38 eV per formula unit
calculated volume = 150.4 Å³/cell

---

No. 16
Below is a geometry-optimized Sr2LiLaPt structure, with properties calculated at the PBE level.

abc: 6.0714 6.0714 5.5553
angles: 90.00 90.00 90.00
Space group P4/mmm (No. 123)
Asymmetric unit:
1 Sr 0.0000 0.5000 0.0000 (multiplicity 2)
2 Li 0.0000 0.0000 0.5000 (multiplicity 1)
3 La 0.5000 0.5000 0.5000 (multiplicity 1)
4 Pt 0.5000 0.5000 0.0000 (multiplicity 1)

Values from the calculation:
final energy = -3.6257 eV per atom
calculated formation energy = -1.88 eV per formula unit
calculated volume = 204.8 Å³/cell

---

No. 17
Below is a geometry-optimized SrLiLaPt structure, with properties calculated at the PBE level.

abc: 7.4554 7.4554 7.4554
angles: 90.00 90.00 90.00
Space group F-43m (No. 216)
Asymmetric unit:
1 Sr 0.0000 0.0000 0.0000 (multiplicity 4)
2 Li 0.2500 0.2500 0.2500 (multiplicity 4)
3 La 0.0000 0.0000 0.5000 (multiplicity 4)
4 Pt 0.2500 0.2500 0.7500 (multiplicity 4)

Values from the calculation:
final energy = -4.0952 eV per atom
calculated formation energy = -1.82 eV per formula unit
calculated volume = 414.4 Å³/cell

---

No. 18
Below is a geometry-optimized Li2LaTcPt structure, with properties calculated at the PBE level.

abc: 4.5781 4.5781 4.9754
angles: 90.00 90.00 90.00
Space group P4/mmm (No. 123)
Asymmetric unit:
1 Li 0.0000 0.5000 0.0000 (multiplicity 2)
2 La 0.0000 0.0000 0.5000 (multiplicity 1)
3 Tc 0.5000 0.5000 0.5000 (multiplicity 1)
4 Pt 0.5000 0.5000 0.0000 (multiplicity 1)

Values from the calculation:
final energy = -4.9696 eV per atom
calculated formation energy = 0.31 eV per formula unit
calculated volume = 104.3 Å³/cell
ΔE to the lowest computed polymorph = 0 meV per atom

---

No. 19
Below is a geometry-optimized Li2LaTcPt structure, with properties calculated at the PBE level.

abc: 4.6567 4.6567 5.5433
angles: 90.00 90.00 90.00
Space group P4/mmm (No. 123)
Asymmetric unit:
1 Li 0.0000 0.5000 0.0000 (multiplicity 2)
2 La 0.0000 0.0000 0.5000 (multiplicity 1)
3 Tc 0.5000 0.5000 0.5000 (multiplicity 1)
4 Pt 0.0000 0.0000 0.0000 (multiplicity 1)

Values from the calculation:
final energy = -4.6388 eV per atom
calculated formation energy = 1.97 eV per formula unit
calculated volume = 120.2 Å³/cell
ΔE to the lowest computed polymorph = 331 meV per atom

---

No. 20
Below is a geometry-optimized LiLaThPt structure, with properties calculated at the PBE level.

abc: 7.3337 7.3337 7.3337
angles: 90.00 90.00 90.00
Space group F-43m (No. 216)
Asymmetric unit:
1 Li 0.0000 0.0000 0.0000 (multiplicity 4)
2 La 0.2500 0.2500 0.2500 (multiplicity 4)
3 Th 0.2500 0.2500 0.7500 (multiplicity 4)
4 Pt 0.0000 0.0000 0.5000 (multiplicity 4)

Values from the calculation:
final energy = -5.4856 eV per atom
calculated formation energy = -1.64 eV per formula unit
calculated volume = 394.4 Å³/cell

---

No. 21
Below is a geometry-optimized LiLaTiPt2 structure, with properties calculated at the PBE level.

abc: 4.0673 4.0673 12.0026
angles: 90.00 90.00 90.00
Space group I-4m2 (No. 119)
Asymmetric unit:
1 Li 0.0000 0.0000 0.0000 (multiplicity 2)
2 La 0.0000 0.5000 0.7500 (multiplicity 2)
3 Ti 0.0000 0.0000 0.5000 (multiplicity 2)
4 Pt 0.0000 0.5000 0.1330 (multiplicity 4)

Values from the calculation:
final energy = -6.1741 eV per atom
calculated formation energy = -4.05 eV per formula unit
calculated volume = 198.6 Å³/cell

---

No. 22
Below is a geometry-optimized LiLaTlPt structure, with properties calculated at the PBE level.

abc: 7.0477 7.0477 7.0477
angles: 90.00 90.00 90.00
Space group F-43m (No. 216)
Asymmetric unit:
1 Li 0.0000 0.0000 0.0000 (multiplicity 4)
2 La 0.2500 0.2500 0.7500 (multiplicity 4)
3 Tl 0.2500 0.2500 0.2500 (multiplicity 4)
4 Pt 0.0000 0.0000 0.5000 (multiplicity 4)

Values from the calculation:
final energy = -4.3812 eV per atom
calculated formation energy = -2.28 eV per formula unit
calculated volume = 350.1 Å³/cell

---

No. 23
Below is a geometry-optimized LiLa2TlPt structure, with properties calculated at the PBE level.

abc: 5.6315 5.6315 4.8016
angles: 90.00 90.00 90.00
Space group P4/mmm (No. 123)
Asymmetric unit:
1 Li 0.0000 0.0000 0.0000 (multiplicity 1)
2 La 0.0000 0.5000 0.5000 (multiplicity 2)
3 Tl 0.5000 0.5000 0.0000 (multiplicity 1)
4 Pt 0.0000 0.0000 0.5000 (multiplicity 1)

Values from the calculation:
final energy = -4.5386 eV per atom
calculated formation energy = -2.52 eV per formula unit
calculated volume = 152.3 Å³/cell
ΔE to the lowest computed polymorph = 143 meV per atom

---

No. 24
Below is a geometry-optimized LiLa2TlPt structure, with properties calculated at the PBE level.

abc: 8.3484 4.2244 8.3755
angles: 90.00 110.47 90.00
Space group P2_1/m (No. 11)
Asymmetric unit:
1 Li 0.1472 0.2500 0.0629 (multiplicity 2)
2 La 0.1530 0.7500 0.3934 (multiplicity 2)
3 La 0.4847 0.2500 0.7869 (multiplicity 2)
4 Tl 0.1783 0.7500 0.8231 (multiplicity 2)
5 Pt 0.3930 0.2500 0.3855 (multiplicity 2)

Values from the calculation:
final energy = -4.6818 eV per atom
calculated formation energy = -3.23 eV per formula unit
calculated volume = 276.7 Å³/cell
ΔE to the lowest computed polymorph = 0 meV per atom

---

No. 25
Below is a geometry-optimized LiLaTmPt structure, with properties calculated at the PBE level.

abc: 7.1954 7.1954 7.1954
angles: 90.00 90.00 90.00
Space group F-43m (No. 216)
Asymmetric unit:
1 Li 0.0000 0.0000 0.0000 (multiplicity 4)
2 La 0.2500 0.2500 0.7500 (multiplicity 4)
3 Tm 0.2500 0.2500 0.2500 (multiplicity 4)
4 Pt 0.0000 0.0000 0.5000 (multiplicity 4)

Values from the calculation:
final energy = -4.9278 eV per atom
calculated formation energy = -2.36 eV per formula unit
calculated volume = 372.5 Å³/cell